[1]
CsRbHClO | GGA-PBE | relaxed

Geometry as POSCAR:
```
CsRbHClO
1.0
4.395 0.000 0.000
0.000 5.701 0.000
-1.430 0.000 5.635
Cs Rb H Cl O
1 1 1 1 1
Direct
0.000 0.000 0.000 Cs
0.230 0.500 0.565 Rb
0.480 0.000 0.514 H
0.581 0.500 0.136 Cl
0.331 0.000 0.614 O
```

Properties
Symmetry = No. 6

---

[2]
CsRbHClO | GGA-PBE | relaxed

Geometry as POSCAR:
```
CsRbHClO
1.0
4.662 0.000 0.000
-2.331 4.037 0.000
0.000 0.000 7.476
Cs Rb H Cl O
1 1 1 1 1
Direct
0.000 0.000 0.000 Cs
0.667 0.333 0.569 Rb
0.333 0.667 0.644 H
0.333 0.667 0.314 Cl
0.333 0.667 0.775 O
```

Properties
Symmetry = No. 156

---

[3]
CsRbHClO | GGA-PBE | relaxed

Geometry as POSCAR:
```
CsRbHClO
1.0
4.384 0.000 0.000
2.169 4.450 0.000
2.166 0.186 7.948
Cs Rb H Cl O
1 1 1 1 1
Direct
0.000 0.000 0.000 Cs
0.857 0.794 0.493 Rb
0.578 0.586 0.251 H
0.438 0.400 0.725 Cl
0.476 0.805 0.244 O
```

Properties
Symmetry = No. 1

---

[4]
CsRbHClO | GGA-PBE | relaxed

Geometry as POSCAR:
```
CsRbHClO
1.0
4.552 0.000 0.000
0.020 4.568 0.000
0.812 0.655 7.035
Cs Rb H Cl O
1 1 1 1 1
Direct
0.000 0.000 0.000 Cs
0.420 0.436 0.418 Rb
0.539 0.534 0.905 H
0.899 0.919 0.520 Cl
0.478 0.482 0.039 O
```

Properties
Symmetry = No. 1

---

[5]
CsRbHClO | GGA-PBE | relaxed

Geometry as POSCAR:
```
CsRbHClO
1.0
4.291 0.000 0.000
1.526 4.070 0.000
0.095 0.261 8.117
Cs Rb H Cl O
1 1 1 1 1
Direct
0.000 0.000 0.000 Cs
0.000 0.964 0.527 Rb
0.548 0.541 0.748 H
0.370 0.360 0.287 Cl
0.657 0.699 0.768 O
```

Properties
Symmetry = No. 1

---

[6]
CsRbHClO | GGA-PBE | relaxed

Geometry as POSCAR:
```
CsRbHClO
1.0
4.133 -2.405 0.000
4.133 2.405 0.000
-2.766 0.000 7.157
Cs Rb H Cl O
1 1 1 1 1
Direct
0.000 0.000 0.000 Cs
0.481 0.481 0.435 Rb
0.694 0.694 0.090 H
0.239 0.239 0.711 Cl
0.743 0.743 0.226 O
```

Properties
Symmetry = No. 8

---

[7]
CsRbHClO | GGA-PBE | relaxed

Geometry as POSCAR:
```
CsRbHClO
1.0
4.563 0.000 0.000
0.000 4.567 0.000
-0.212 0.000 7.194
Cs Rb H Cl O
1 1 1 1 1
Direct
0.000 0.000 0.000 Cs
0.521 0.500 0.411 Rb
0.489 0.500 0.906 H
0.026 0.000 0.508 Cl
0.506 0.500 0.041 O
```

Properties
Symmetry = No. 6

---

[8]
CsRbHClO | GGA-PBE | relaxed

Geometry as POSCAR:
```
CsRbHClO
1.0
3.962 -2.987 0.000
3.962 2.987 0.000
-1.368 0.000 5.550
Cs Rb H Cl O
1 1 1 1 1
Direct
0.000 0.000 0.000 Cs
0.656 0.656 0.456 Rb
0.170 0.170 0.548 H
0.352 0.352 0.715 Cl
0.602 0.602 0.950 O
```

Properties
Symmetry = No. 8

---

| no. | excess energy over the best structure of this formula in the dataset (meV per atom) |
| --- | --- |
| 1 | 21 |
| 2 | 13 |
| 3 | 24 |
| 4 | 0 |
| 5 | 34 |
| 6 | 30 |
| 7 | 0 |
| 8 | 877 |